Record 1
Below is an optimized crystal structure of SrRe2AgF, with properties calculated at the PBE level.

Cell: 6.3083 5.8224 6.3083 Å, 90.00 90.00 90.00°
Closest atoms and distances in Å follow each position.
Element x y z (fractional)
Ag (0.0000, 0.5000, 0.0000)  2 Sr 2.91
Re (0.5000, 0.0000, 0.0000)  2 Sr 3.15
Re (0.0000, 0.0000, 0.5000)  2 Sr 3.15
F (0.5000, 0.5000, 0.5000)  8 Re 4.29, 4 Ag 4.46
Sr (0.0000, 0.0000, 0.0000)  2 Ag 2.91, 4 Re 3.15

raw total energy: -3.5540 eV/atom
formation energy without anion corrections: 2.706 eV/atom

Record 2
Below is an optimized crystal structure of TaReAgF2, with properties calculated at the PBE level.

Cell: 3.9291 5.8951 3.9291 Å, 90.00 90.00 90.00°
Closest atoms and distances in Å follow each position.
Element x y z (fractional)
Re (0.0000, 0.5000, 0.0000)  4 Ta 2.78, 2 Ag 2.95
Ag (0.0000, 0.0000, 0.0000)  4 F 1.96
Ta (0.5000, 0.5000, 0.5000)  4 Re 2.78
F (0.0000, 0.0000, 0.5000)  2 Ag 1.96
F (0.5000, 0.0000, 0.0000)  2 Ag 1.96

raw total energy: -5.6044 eV/atom
formation energy without anion corrections: 0.575 eV/atom